[1]
# CsPu2AgCl8 GGA-PBE relaxed
# **Energy relative to the elements, uncorrected**: -1649 meV per atom
# **Theoretical density**: 4.0 g/cm³
data_CsPu2AgCl8
_chemical_formula_sum 'Cs1 Pu2 Ag1 Cl8'
_cell_length_a 6.793
_cell_length_b 7.356
_cell_length_c 8.540
_cell_angle_alpha 92.87
_cell_angle_beta 92.35
_cell_angle_gamma 98.04
_space_group_name_H-M_alt 'P -1'
_space_group_IT_number 2
loop_
_space_group_symop_operation_xyz
'x,y,z'
'-x,-y,-z'
loop_
_atom_site_label
_atom_site_type_symbol
_atom_site_fract_x
_atom_site_fract_y
_atom_site_fract_z
Cs1 Cs 0.000 0.000 0.000
Pu1 Pu 0.499 0.519 0.258
Ag1 Ag 0.000 0.000 0.500
Cl1 Cl 0.135 0.351 0.253
Cl2 Cl 0.151 0.239 0.692
Cl3 Cl 0.397 0.711 0.522
Cl4 Cl 0.418 0.713 0.994

[2]
# Cs3Rb2AgCl6 GGA-PBE relaxed
# **Energy relative to the elements, uncorrected**: -1669 meV per atom
# **Theoretical density**: 3.1 g/cm³
data_Cs3Rb2AgCl6
_chemical_formula_sum 'Cs6 Rb4 Ag2 Cl12'
_cell_length_a 8.165
_cell_length_b 14.705
_cell_length_c 8.249
_cell_angle_alpha 90.00
_cell_angle_beta 107.68
_cell_angle_gamma 90.00
_space_group_name_H-M_alt 'C 1 2/m 1'
_space_group_IT_number 12
loop_
_space_group_symop_operation_xyz
'x,y,z'
'-x,-y,-z'
'-x,y,-z'
'x,-y,z'
'x+1/2,y+1/2,z'
'-x+1/2,-y+1/2,-z'
'-x+1/2,y+1/2,-z'
'x+1/2,-y+1/2,z'
loop_
_atom_site_label
_atom_site_type_symbol
_atom_site_fract_x
_atom_site_fract_y
_atom_site_fract_z
Cs1 Cs 0.000 0.000 0.000
Cs2 Cs 0.000 0.340 0.000
Rb1 Rb 0.000 0.177 0.500
Ag1 Ag 0.000 0.500 0.500
Cl1 Cl 0.202 0.500 0.327
Cl2 Cl 0.236 0.170 0.248

[3]
# Cs2RbAg3Cl6 GGA-PBE relaxed
# **Energy relative to the elements, uncorrected**: -1191 meV per atom
# **Theoretical density**: 3.3 g/cm³
data_Cs2RbAg3Cl6
_chemical_formula_sum 'Cs2 Rb1 Ag3 Cl6'
_cell_length_a 5.293
_cell_length_b 5.293
_cell_length_c 15.816
_cell_angle_alpha 90.00
_cell_angle_beta 90.00
_cell_angle_gamma 90.00
_space_group_name_H-M_alt 'P 4/m m m'
_space_group_IT_number 123
_space_group_name_Hall '-P 4 2'
loop_
_atom_site_label
_atom_site_type_symbol
_atom_site_fract_x
_atom_site_fract_y
_atom_site_fract_z
Cs1 Cs 0.000 0.000 0.216
Rb1 Rb 0.000 0.000 0.500
Ag1 Ag 0.500 0.500 0.000
Ag2 Ag 0.500 0.500 0.353
Cl1 Cl 0.000 0.500 0.361
Cl2 Cl 0.500 0.500 0.148

[4]
# CsRbAg2Cl5 GGA-PBE relaxed
# **Energy relative to the elements, uncorrected**: -1148 meV per atom
# **Theoretical density**: 3.7 g/cm³
data_CsRbAg2Cl5
_chemical_formula_sum 'Cs1 Rb1 Ag2 Cl5'
_cell_length_a 5.095
_cell_length_b 5.095
_cell_length_c 10.574
_cell_angle_alpha 90.00
_cell_angle_beta 90.00
_cell_angle_gamma 90.00
_space_group_name_H-M_alt 'P 4/m m m'
_space_group_IT_number 123
_space_group_name_Hall '-P 4 2'
loop_
_atom_site_label
_atom_site_type_symbol
_atom_site_fract_x
_atom_site_fract_y
_atom_site_fract_z
Cs1 Cs 0.000 0.000 0.000
Rb1 Rb 0.000 0.000 0.500
Ag1 Ag 0.500 0.500 0.258
Cl1 Cl 0.000 0.500 0.291
Cl2 Cl 0.500 0.500 0.000

[5]
# CsRbAg2Cl4 GGA-PBE relaxed
# **Energy relative to the elements, uncorrected**: -1180 meV per atom
# **Theoretical density**: 3.7 g/cm³
data_CsRbAg2Cl4
_chemical_formula_sum 'Cs1 Rb1 Ag2 Cl4'
_cell_length_a 5.333
_cell_length_b 5.333
_cell_length_c 9.043
_cell_angle_alpha 90.00
_cell_angle_beta 90.00
_cell_angle_gamma 90.00
_space_group_name_H-M_alt 'P 4/m m m'
_space_group_IT_number 123
_space_group_name_Hall '-P 4 2'
loop_
_atom_site_label
_atom_site_type_symbol
_atom_site_fract_x
_atom_site_fract_y
_atom_site_fract_z
Cs1 Cs 0.000 0.000 0.000
Rb1 Rb 0.000 0.000 0.500
Ag1 Ag 0.500 0.500 0.274
Cl1 Cl 0.000 0.500 0.264

[6]
# CsRb2AgCl6 GGA-PBE relaxed
# **Energy relative to the elements, uncorrected**: -1179 meV per atom
# **Theoretical density**: 2.7 g/cm³
data_CsRb2AgCl6
_chemical_formula_sum 'Cs2 Rb4 Ag2 Cl12'
_cell_length_a 7.810
_cell_length_b 7.810
_cell_length_c 12.434
_cell_angle_alpha 90.00
_cell_angle_beta 90.00
_cell_angle_gamma 90.00
_space_group_name_H-M_alt 'I 4/m m m'
_space_group_IT_number 139
_space_group_name_Hall '-I 4 2'
loop_
_atom_site_label
_atom_site_type_symbol
_atom_site_fract_x
_atom_site_fract_y
_atom_site_fract_z
Cs1 Cs 0.000 0.000 0.000
Rb1 Rb 0.000 0.500 0.250
Ag1 Ag 0.000 0.000 0.500
Cl1 Cl 0.000 0.000 0.260
Cl2 Cl 0.214 0.214 0.500

[7]
# CsRb2AgCl GGA-PBE relaxed
# **Energy relative to the elements, uncorrected**: -640 meV per atom
# **Theoretical density**: 2.7 g/cm³
data_CsRb2AgCl
_chemical_formula_sum 'Cs1 Rb2 Ag1 Cl1'
_cell_length_a 6.351
_cell_length_b 6.351
_cell_length_c 6.750
_cell_angle_alpha 90.00
_cell_angle_beta 90.00
_cell_angle_gamma 90.00
_space_group_name_H-M_alt 'P 4/m m m'
_space_group_IT_number 123
_space_group_name_Hall '-P 4 2'
loop_
_atom_site_label
_atom_site_type_symbol
_atom_site_fract_x
_atom_site_fract_y
_atom_site_fract_z
Cs1 Cs 0.000 0.000 0.000
Rb1 Rb 0.000 0.500 0.500
Ag1 Ag 0.500 0.500 0.000
Cl1 Cl 0.000 0.000 0.500

[8]
# CsRbAgCl GGA-PBE relaxed
# **Energy relative to the elements, uncorrected**: -835 meV per atom
# **Theoretical density**: 3.8 g/cm³
data_CsRbAgCl
_chemical_formula_sum 'Cs4 Rb4 Ag4 Cl4'
_cell_length_a 8.604
_cell_length_b 8.604
_cell_length_c 8.604
_cell_angle_alpha 90.00
_cell_angle_beta 90.00
_cell_angle_gamma 90.00
_space_group_name_H-M_alt 'F -4 3 m'
_space_group_IT_number 216
_space_group_name_Hall 'F -4 2 3'
loop_
_atom_site_label
_atom_site_type_symbol
_atom_site_fract_x
_atom_site_fract_y
_atom_site_fract_z
Cs1 Cs 0.000 0.000 0.000
Rb1 Rb 0.000 0.000 0.500
Ag1 Ag 0.250 0.250 0.250
Cl1 Cl 0.250 0.250 0.750